Material: NdYEr2P4
Method: DFT, GGA-PBE
State: relaxed

Output
Formation enthalpy at 0 K (eV/atom): -1.588

a = 6.9800 Å, b = 4.0330 Å, c = 6.9807 Å
α = 90.00°, β = 109.47°, γ = 90.00°
With the nearest neighbours (Å) after each atom.
Space group P2/m (No. 10)
One atom of each set of equivalent atoms:
Nd  0.0000  0.0000  0.0000  6 P 2.90
Y  0.0000  0.5000  0.5000  6 P 2.86
Er  0.5000  0.0000  0.5000  6 P 2.80-2.81
Er  0.5000  0.5000  0.0000  6 P 2.84
P  0.2560  0.0000  0.7480  3 Er 2.80-2.84, 2 Y 2.86, 1 Nd 2.90
P  0.2592  0.5000  0.2570  3 Er 2.81-2.84, 1 Y 2.86, 2 Nd 2.90

***

Material: Nd2ErZrP4
Method: DFT, GGA-PBE
State: relaxed

Output
Formation enthalpy at 0 K (eV/atom): -1.506

a = 6.9194 Å, b = 3.9931 Å, c = 6.9423 Å
α = 90.00°, β = 109.25°, γ = 90.00°
With the nearest neighbours (Å) after each atom.
Space group P2/m (No. 10)
One atom of each set of equivalent atoms:
Nd  0.0000  0.0000  0.0000  6 P 2.93
Nd  0.5000  0.5000  0.0000  6 P 2.88
Er  0.0000  0.5000  0.5000  6 P 2.78-2.79
Zr  0.5000  0.0000  0.5000  6 P 2.72-2.73
P  0.2512  0.0000  0.7321  1 Zr 2.72, 2 Er 2.79, 3 Nd 2.88-2.93
P  0.2635  0.5000  0.2716  2 Zr 2.73, 1 Er 2.78, 3 Nd 2.88-2.93